# FePt (PBE, relaxed)
data_FePt
_chemical_formula_sum 'Fe4 Pt4'
_cell_length_a 3.797
_cell_length_b 3.797
_cell_length_c 7.829
_cell_angle_alpha 90.00
_cell_angle_beta 90.00
_cell_angle_gamma 90.00
_space_group_name_H-M_alt 'P 1'
_space_group_IT_number 1
loop_
_space_group_symop_operation_xyz
'x,y,z'
loop_
_atom_site_label
_atom_site_type_symbol
_atom_site_fract_x
_atom_site_fract_y
_atom_site_fract_z
Fe1 Fe 0.000 0.250 0.375
Fe2 Fe 0.000 0.750 0.625
Fe3 Fe 0.500 0.250 0.125
Fe4 Fe 0.500 0.750 0.875
Pt1 Pt 0.000 0.250 0.875
Pt2 Pt 0.000 0.750 0.125
Pt3 Pt 0.500 0.250 0.625
Pt4 Pt 0.500 0.750 0.375
# SG: I4_1/amd (141)
# E_tot in eV per cell: -59.55
# DOS(E_F) in states/eV/atom: 0.92
# Formation energy in eV/atom: -0.192

=====

# FePt4 (PBE, relaxed)
data_FePt4
_chemical_formula_sum 'Fe2 Pt8'
_cell_length_a 6.216
_cell_length_b 6.216
_cell_length_c 3.916
_cell_angle_alpha 90.00
_cell_angle_beta 90.00
_cell_angle_gamma 90.00
_space_group_name_H-M_alt 'P 1'
_space_group_IT_number 1
loop_
_space_group_symop_operation_xyz
'x,y,z'
loop_
_atom_site_label
_atom_site_type_symbol
_atom_site_fract_x
_atom_site_fract_y
_atom_site_fract_z
Fe1 Fe 0.000 0.000 0.000
Fe2 Fe 0.500 0.500 0.500
Pt1 Pt 0.104 0.297 0.500
Pt2 Pt 0.203 0.604 0.000
Pt3 Pt 0.297 0.896 0.500
Pt4 Pt 0.396 0.203 0.000
Pt5 Pt 0.604 0.797 0.000
Pt6 Pt 0.703 0.104 0.500
Pt7 Pt 0.797 0.396 0.000
Pt8 Pt 0.896 0.703 0.500
# SG: I4/m (87)
# Distance to the lowest polymorph of the same formula in kJ per mole of atoms: 0.0
# E_tot in eV per cell: -66.72
# DOS(E_F) in states/eV/atom: 1.51
# Formation energy in eV/atom: -0.147

=====

# Fe4Pt7 (PBE, relaxed)
data_Fe4Pt7
_chemical_formula_sum 'Fe4 Pt7'
_cell_length_a 8.402
_cell_length_b 8.402
_cell_length_c 2.731
_cell_angle_alpha 90.00
_cell_angle_beta 90.00
_cell_angle_gamma 120.00
_space_group_name_H-M_alt 'P 1'
_space_group_IT_number 1
loop_
_space_group_symop_operation_xyz
'x,y,z'
loop_
_atom_site_label
_atom_site_type_symbol
_atom_site_fract_x
_atom_site_fract_y
_atom_site_fract_z
Fe1 Fe 0.000 0.000 0.000
Fe2 Fe 0.006 0.503 0.500
Fe3 Fe 0.497 0.503 0.500
Fe4 Fe 0.497 0.994 0.500
Pt1 Pt 0.188 0.377 0.000
Pt2 Pt 0.188 0.812 0.000
Pt3 Pt 0.308 0.154 0.500
Pt4 Pt 0.623 0.812 0.000
Pt5 Pt 0.667 0.333 0.000
Pt6 Pt 0.846 0.154 0.500
Pt7 Pt 0.846 0.692 0.500
# SG: P-6m2 (187)
# E_tot in eV per cell: -77.50
# DOS(E_F) in states/eV/atom: 0.73
# Formation energy in eV/atom: -0.124

=====

# Fe4Pt3 (PBE, relaxed)
data_Fe4Pt3
_chemical_formula_sum 'Fe8 Pt6'
_cell_length_a 2.896
_cell_length_b 2.896
_cell_length_c 22.944
_cell_angle_alpha 90.00
_cell_angle_beta 90.00
_cell_angle_gamma 90.00
_space_group_name_H-M_alt 'P 1'
_space_group_IT_number 1
loop_
_space_group_symop_operation_xyz
'x,y,z'
loop_
_atom_site_label
_atom_site_type_symbol
_atom_site_fract_x
_atom_site_fract_y
_atom_site_fract_z
Fe1 Fe 0.000 0.000 0.074
Fe2 Fe 0.000 0.000 0.365
Fe3 Fe 0.000 0.000 0.635
Fe4 Fe 0.000 0.000 0.926
Fe5 Fe 0.500 0.500 0.135
Fe6 Fe 0.500 0.500 0.426
Fe7 Fe 0.500 0.500 0.574
Fe8 Fe 0.500 0.500 0.865
Pt1 Pt 0.000 0.000 0.205
Pt2 Pt 0.000 0.000 0.500
Pt3 Pt 0.000 0.000 0.795
Pt4 Pt 0.500 0.500 0.000
Pt5 Pt 0.500 0.500 0.295
Pt6 Pt 0.500 0.500 0.705
# SG: I4/mmm (139)
# Distance to the lowest polymorph of the same formula in kJ per mole of atoms: 0.0
# E_tot in eV per cell: -105.48
# DOS(E_F) in states/eV/atom: 0.97
# Formation energy in eV/atom: -0.110

=====

# Fe5Pt (PBE, relaxed)
data_Fe5Pt
_chemical_formula_sum 'Fe5 Pt1'
_cell_length_a 2.880
_cell_length_b 2.880
_cell_length_c 9.032
_cell_angle_alpha 90.00
_cell_angle_beta 90.00
_cell_angle_gamma 90.00
_space_group_name_H-M_alt 'P 1'
_space_group_IT_number 1
loop_
_space_group_symop_operation_xyz
'x,y,z'
loop_
_atom_site_label
_atom_site_type_symbol
_atom_site_fract_x
_atom_site_fract_y
_atom_site_fract_z
Fe1 Fe 0.000 0.000 0.000
Fe2 Fe 0.000 0.000 0.312
Fe3 Fe 0.000 0.000 0.688
Fe4 Fe 0.500 0.500 0.158
Fe5 Fe 0.500 0.500 0.842
Pt1 Pt 0.500 0.500 0.500
# SG: P4/mmm (123)
# E_tot in eV per cell: -48.65
# DOS(E_F) in states/eV/atom: 1.03
# Formation energy in eV/atom: -0.048

=====

# Fe3Pt7 (PBE, relaxed)
data_Fe3Pt7
_chemical_formula_sum 'Fe6 Pt14'
_cell_length_a 7.344
_cell_length_b 7.344
_cell_length_c 6.114
_cell_angle_alpha 90.80
_cell_angle_beta 90.80
_cell_angle_gamma 64.12
_space_group_name_H-M_alt 'P 1'
_space_group_IT_number 1
loop_
_space_group_symop_operation_xyz
'x,y,z'
loop_
_atom_site_label
_atom_site_type_symbol
_atom_site_fract_x
_atom_site_fract_y
_atom_site_fract_z
Fe1 Fe 0.236 0.764 0.000
Fe2 Fe 0.249 0.249 0.511
Fe3 Fe 0.344 0.344 0.100
Fe4 Fe 0.656 0.656 0.900
Fe5 Fe 0.751 0.751 0.489
Fe6 Fe 0.764 0.236 0.000
Pt1 Pt 0.048 0.553 0.799
Pt2 Pt 0.052 0.052 0.303
Pt3 Pt 0.150 0.150 0.892
Pt4 Pt 0.165 0.634 0.394
Pt5 Pt 0.366 0.835 0.606
Pt6 Pt 0.447 0.952 0.201
Pt7 Pt 0.452 0.452 0.736
Pt8 Pt 0.548 0.548 0.264
Pt9 Pt 0.553 0.048 0.799
Pt10 Pt 0.634 0.165 0.394
Pt11 Pt 0.835 0.366 0.606
Pt12 Pt 0.850 0.850 0.108
Pt13 Pt 0.948 0.948 0.697
Pt14 Pt 0.952 0.447 0.201
# SG: C2/m (12)
# E_tot in eV per cell: -139.32
# DOS(E_F) in states/eV/atom: 0.81
# Formation energy in eV/atom: -0.199

=====

# Fe5Pt3 (PBE, relaxed)
data_Fe5Pt3
_chemical_formula_sum 'Fe10 Pt6'
_cell_length_a 7.562
_cell_length_b 7.562
_cell_length_c 3.816
_cell_angle_alpha 90.00
_cell_angle_beta 90.00
_cell_angle_gamma 90.00
_space_group_name_H-M_alt 'P 1'
_space_group_IT_number 1
loop_
_space_group_symop_operation_xyz
'x,y,z'
loop_
_atom_site_label
_atom_site_type_symbol
_atom_site_fract_x
_atom_site_fract_y
_atom_site_fract_z
Fe1 Fe 0.000 0.000 0.000
Fe2 Fe 0.000 0.255 0.500
Fe3 Fe 0.000 0.745 0.500
Fe4 Fe 0.250 0.250 0.000
Fe5 Fe 0.250 0.750 0.000
Fe6 Fe 0.500 0.245 0.500
Fe7 Fe 0.500 0.500 0.000
Fe8 Fe 0.500 0.755 0.500
Fe9 Fe 0.750 0.250 0.000
Fe10 Fe 0.750 0.750 0.000
Pt1 Pt 0.000 0.500 0.000
Pt2 Pt 0.239 0.000 0.500
Pt3 Pt 0.261 0.500 0.500
Pt4 Pt 0.500 0.000 0.000
Pt5 Pt 0.739 0.500 0.500
Pt6 Pt 0.761 0.000 0.500
# SG: Cmmm (65)
# Distance to the lowest polymorph of the same formula in kJ per mole of atoms: 0.0
# E_tot in eV per cell: -123.42
# DOS(E_F) in states/eV/atom: 0.89
# Formation energy in eV/atom: -0.159

=====

# Fe2Pt (PBE, relaxed)
data_Fe2Pt
_chemical_formula_sum 'Fe8 Pt4'
_cell_length_a 11.825
_cell_length_b 11.825
_cell_length_c 11.825
_cell_angle_alpha 161.78
_cell_angle_beta 161.78
_cell_angle_gamma 25.88
_space_group_name_H-M_alt 'P 1'
_space_group_IT_number 1
loop_
_space_group_symop_operation_xyz
'x,y,z'
loop_
_atom_site_label
_atom_site_type_symbol
_atom_site_fract_x
_atom_site_fract_y
_atom_site_fract_z
Fe1 Fe 0.041 0.791 0.250
Fe2 Fe 0.124 0.374 0.750
Fe3 Fe 0.209 0.959 0.250
Fe4 Fe 0.374 0.124 0.250
Fe5 Fe 0.626 0.876 0.750
Fe6 Fe 0.791 0.041 0.750
Fe7 Fe 0.876 0.626 0.250
Fe8 Fe 0.959 0.209 0.750
Pt1 Pt 0.294 0.544 0.750
Pt2 Pt 0.456 0.706 0.750
Pt3 Pt 0.544 0.294 0.250
Pt4 Pt 0.706 0.456 0.250
# SG: I4_1/amd (141)
# E_tot in eV per cell: -93.53
# DOS(E_F) in states/eV/atom: 0.85
# Formation energy in eV/atom: -0.138

=====

Q: Which magnetization values were calculated for the entries above? A: 13.4 8.3 14.9 25.1 13.4 23.4 31.1 24.2, in μB per cell.
Q: Which calculated volume values were calculated for the entries above? A: 113 151 167 192 75 297 218 162, in Å³/cell.